Entry 1:
# K2FeHg, optimized geometry, DFT PBE
# ΔE_f ... 2.60 eV/f.u.
# DOS at the Fermi energy ... 5.89 states/eV per cell
# Crystal system ... tetragonal
data_K2FeHg
_chemical_formula_sum 'K2 Fe1 Hg1'
_cell_length_a 5.5741
_cell_length_b 5.5741
_cell_length_c 5.5741
_cell_angle_alpha 120.18
_cell_angle_beta 120.18
_cell_angle_gamma 89.68
_space_group_name_H-M_alt 'P 1'
_space_group_IT_number 1
loop_
_space_group_symop_operation_xyz
'x,y,z'
loop_
_atom_site_label
_atom_site_type_symbol
_atom_site_fract_x
_atom_site_fract_y
_atom_site_fract_z
Fe1 Fe 0.5000 0.5000 0.0000
Hg1 Hg 0.7500 0.2500 0.5000
K1 K 0.2500 0.7500 0.5000
K2 K 0.0000 0.0000 0.0000

Entry 2:
# KFeHg2, optimized geometry, DFT PBE
# ΔE_f ... 1.64 eV/f.u.
# E above lowest polymorph ... 0.1275 eV per atom
# DOS at the Fermi energy ... 4.17 states/eV per cell
# Crystal system ... tetragonal
data_KFeHg2
_chemical_formula_sum 'K2 Fe2 Hg4'
_cell_length_a 5.7981
_cell_length_b 5.7981
_cell_length_c 9.4897
_cell_angle_alpha 72.21
_cell_angle_beta 72.21
_cell_angle_gamma 90.00
_space_group_name_H-M_alt 'P 1'
_space_group_IT_number 1
loop_
_space_group_symop_operation_xyz
'x,y,z'
loop_
_atom_site_label
_atom_site_type_symbol
_atom_site_fract_x
_atom_site_fract_y
_atom_site_fract_z
Hg1 Hg 0.8750 0.0521 0.7500
Hg2 Hg 0.9479 0.6250 0.2500
Hg3 Hg 0.8021 0.1250 0.2500
Hg4 Hg 0.3750 0.1979 0.7500
K1 K 0.5000 0.5000 0.0000
K2 K 0.2500 0.7500 0.5000
Fe1 Fe 0.7500 0.2500 0.5000
Fe2 Fe 0.0000 0.0000 0.0000

Entry 3:
# KFeHg2, optimized geometry, DFT PBE
# ΔE_f ... 2.19 eV/f.u.
# E above lowest polymorph ... 0.2655 eV per atom
# DOS at the Fermi energy ... 2.81 states/eV per cell
# Crystal system ... tetragonal
data_KFeHg2
_chemical_formula_sum 'K1 Fe1 Hg2'
_cell_length_a 6.0298
_cell_length_b 6.0298
_cell_length_c 6.0298
_cell_angle_alpha 136.29
_cell_angle_beta 136.29
_cell_angle_gamma 63.54
_space_group_name_H-M_alt 'P 1'
_space_group_IT_number 1
loop_
_space_group_symop_operation_xyz
'x,y,z'
loop_
_atom_site_label
_atom_site_type_symbol
_atom_site_fract_x
_atom_site_fract_y
_atom_site_fract_z
Hg1 Hg 0.0000 0.0000 0.0000
Hg2 Hg 0.2500 0.7500 0.5000
K1 K 0.5000 0.5000 0.0000
Fe1 Fe 0.7500 0.2500 0.5000

The lowest DOS at the Fermi energy belongs to which entry? number 3

Number 2 is which compound? KFeHg2

Which formula does entry 2 have? KFeHg2

Number 3 is which compound? KFeHg2